DFT (PBE-GGA) results for a geometry-optimized LaRuW3 structure.

The structure in POSCAR format:
```
LaRuW3
1.0
-0.924 -4.328 1.628
4.575 -0.615 0.961
-0.670 1.768 4.320
W Ru La
3 1 1
direct
0.000 0.500 0.000
0.000 0.000 0.500
0.500 0.000 0.000
0.500 0.500 0.500
0.000 0.000 0.000
```

Properties
For the total energy, the calculation gives -7.522 eV/atom. The calculated density comes out at 12.5 g/cm3. For the magnetic moment, the calculation gives 0.000 μB/f.u. The calculation puts the formation energy at 3.090 eV per atom.



DFT (PBE-GGA) results for a geometry-optimized La2RuW structure.

The structure in POSCAR format:
```
La2RuW
1.0
7.893 0.000 0.000
0.000 7.893 0.000
3.947 3.947 3.028
Ru La W
2 4 2
direct
0.250 0.750 0.500
0.500 0.500 0.000
0.597 0.125 0.250
0.875 0.847 0.750
0.375 0.403 0.750
0.153 0.625 0.250
0.750 0.250 0.500
0.000 0.000 0.000
```

Properties
For the total energy, the calculation gives -7.222 eV/atom. The calculated density comes out at 9.9 g/cm3. For the magnetic moment, the calculation gives 0.047 μB/f.u. The calculation puts the formation energy at 0.799 eV per atom.



DFT (PBE-GGA) results for a geometry-optimized LaRuW2 structure.

The structure in POSCAR format:
```
LaRuW2
1.0
-2.688 0.895 -1.465
0.443 -2.268 -2.198
-3.974 -4.926 4.280
Ru W La
1 2 1
direct
0.500 0.500 0.810
0.500 0.500 0.194
0.000 0.000 0.997
0.000 0.000 0.499
```

Properties
For the total energy, the calculation gives -9.696 eV/atom. The calculated density comes out at 13.0 g/cm3. For the magnetic moment, the calculation gives 0.000 μB/f.u. The calculation puts the formation energy at 0.332 eV per atom.



DFT (PBE-GGA) results for a geometry-optimized La2RuW structure.

The structure in POSCAR format:
```
La2RuW
1.0
3.207 0.000 0.000
0.000 3.207 0.000
0.000 0.000 9.396
W La Ru
1 2 1
direct
0.500 0.500 0.694
0.000 0.000 0.937
0.500 0.500 0.317
0.000 0.000 0.552
```

Properties
For the total energy, the calculation gives -7.865 eV/atom. The calculated density comes out at 9.7 g/cm3. For the magnetic moment, the calculation gives 0.006 μB/f.u. The calculation puts the formation energy at 0.156 eV per atom.



DFT (PBE-GGA) results for a geometry-optimized La2RuW structure.

The structure in POSCAR format:
```
La2RuW
1.0
5.675 -0.009 0.008
-2.182 5.238 0.008
0.723 1.082 2.906
W La Ru
1 2 1
direct
0.000 0.500 0.500
0.000 0.000 0.000
0.500 0.500 0.000
0.500 0.000 0.500
```

Properties
For the total energy, the calculation gives -7.427 eV/atom. The calculated density comes out at 10.8 g/cm3. For the magnetic moment, the calculation gives 0.000 μB/f.u. The calculation puts the formation energy at 0.594 eV per atom.



DFT (PBE-GGA) results for a geometry-optimized La2RuW structure.

The structure in POSCAR format:
```
La2RuW
1.0
0.000 3.582 3.582
3.582 0.000 3.582
3.582 3.582 0.000
W La Ru
1 2 1
direct
0.500 0.500 0.500
0.250 0.250 0.250
0.750 0.750 0.750
0.000 0.000 0.000
```

Properties
For the total energy, the calculation gives -7.428 eV/atom. The calculated density comes out at 10.2 g/cm3. For the magnetic moment, the calculation gives 0.000 μB/f.u. The calculation puts the formation energy at 0.593 eV per atom.